First-principles (PBE-GGA) data for ReNiPt2 after structural relaxation, as listed in the Alexandria database.

## Properties
- ρ (g/cm3) = 18.341
- ΔE_f (eV per atom) = 0.11
- offset from the most stable computed form (meV/atom) = 232

Cell lengths 3.842, 3.842, 3.894 Å; angles 90.00, 90.00, 90.00 degrees
Space group P4/mmm (No. 123)
One atom of each set of equivalent atoms:
Re1 0.000 0.000 0.000 x1
Ni1 0.500 0.500 0.000 x1
Pt1 0.000 0.500 0.500 x2

First-principles (PBE-GGA) data for ReNi8Pt6 after structural relaxation, as listed in the Alexandria database.

## Properties
- ρ (g/cm3) = 14.941
- ΔE_f (eV per atom) = 0.14

Cell lengths 7.1965, 7.1965, 13.5762 Å; angles 90.00, 90.00, 120.00 degrees
Space group R-3 (No. 148, hexagonal axes)
One atom of each set of equivalent atoms:
Re1 0.0000 0.0000 0.0000 x3
Ni1 0.0000 0.0000 0.2344 x6
Ni2 0.0468 0.4332 0.5688 x18
Pt1 0.0200 0.2356 0.4083 x18

First-principles (PBE-GGA) data for ReNiPt3 after structural relaxation, as listed in the Alexandria database.

## Properties
- ρ (g/cm3) = 18.960
- ΔE_f (eV per atom) = -0.11
- offset from the most stable computed form (meV/atom) = 0

Cell lengths 6.125, 3.860, 6.151 Å; angles 90.00, 90.94, 90.00 degrees
Space group P2_1/m (No. 11)
One atom of each set of equivalent atoms:
Re1 0.241 0.250 0.244 x2
Ni1 0.043 0.250 0.860 x2
Pt1 0.144 0.750 0.546 x2
Pt2 0.336 0.750 0.957 x2
Pt3 0.453 0.250 0.649 x2

First-principles (PBE-GGA) data for Re2Ni7Pt3 after structural relaxation, as listed in the Alexandria database.

## Properties
- ρ (g/cm3) = 13.642
- ΔE_f (eV per atom) = 0.19

Cell lengths 2.680, 4.089, 15.261 Å; angles 90.00, 95.06, 90.00 degrees
Space group P2/m (No. 10)
One atom of each set of equivalent atoms:
Re1 0.139 0.000 0.276 x2
Ni1 0.082 0.500 0.160 x2
Ni2 0.217 0.000 0.435 x2
Ni3 0.428 0.000 0.859 x2
Ni4 0.500 0.500 0.000 x1
Pt1 0.000 0.000 0.000 x1
Pt2 0.324 0.500 0.649 x2

First-principles (PBE-GGA) data for ReNi3Pt6 after structural relaxation, as listed in the Alexandria database.

## Properties
- ρ (g/cm3) = 17.812
- ΔE_f (eV per atom) = -0.09

Cell lengths 8.514, 3.869, 8.679 Å; angles 90.00, 91.37, 90.00 degrees
Space group P2_1/m (No. 11)
One atom of each set of equivalent atoms:
Re1 0.046 0.250 0.410 x2
Ni1 0.257 0.250 0.997 x2
Ni2 0.353 0.750 0.806 x2
Ni3 0.452 0.250 0.605 x2
Pt1 0.054 0.750 0.899 x2
Pt2 0.155 0.750 0.200 x2
Pt3 0.157 0.250 0.704 x2
Pt4 0.259 0.750 0.508 x2
Pt5 0.359 0.250 0.307 x2
Pt6 0.455 0.750 0.101 x2

First-principles (PBE-GGA) data for ReNi4Pt after structural relaxation, as listed in the Alexandria database.

## Properties
- ρ (g/cm3) = 13.799
- ΔE_f (eV per atom) = 0.05
- offset from the most stable computed form (meV/atom) = 20

Cell lengths 4.073, 7.075, 5.145 Å; angles 90.00, 90.00, 90.00 degrees
Space group Cmmm (No. 65)
One atom of each set of equivalent atoms:
Re1 0.000 0.000 0.000 x2
Ni1 0.000 0.334 0.244 x8
Pt1 0.000 0.000 0.500 x2

First-principles (PBE-GGA) data for ReNiPt2 after structural relaxation, as listed in the Alexandria database.

## Properties
- ρ (g/cm3) = 17.980
- ΔE_f (eV per atom) = 0.20
- offset from the most stable computed form (meV/atom) = 317

Cell lengths 6.168, 6.168, 6.168 Å; angles 90.00, 90.00, 90.00 degrees
Space group Fm-3m (No. 225)
One atom of each set of equivalent atoms:
Re1 0.000 0.000 0.000 x4
Ni1 0.000 0.000 0.500 x4
Pt1 0.250 0.250 0.250 x8

First-principles (PBE-GGA) data for ReNi6Pt4 after structural relaxation, as listed in the Alexandria database.

## Properties
- ρ (g/cm3) = 14.725
- ΔE_f (eV per atom) = 0.11

Cell lengths 4.405, 7.026, 19.219 Å; angles 90.00, 90.00, 90.00 degrees
Space group Cmcm (No. 63)
One atom of each set of equivalent atoms:
Re1 0.000 0.171 0.250 x4
Ni1 0.000 0.000 0.000 x4
Ni2 0.000 0.174 0.750 x4
Ni3 0.000 0.302 0.088 x8
Ni4 0.000 0.484 0.690 x8
Pt1 0.000 0.033 0.631 x8
Pt2 0.000 0.353 0.549 x8